1.
TbRh2C (GGA-PBE, relaxed); total magnetic moment = 0.0 μB/f.u.; symmetry = R-3m, No. 166; uncorrected energy = -6.971 eV per atom; formation energy from the elements = 168.1 meV/atom
1.0
3.706 0.000 0.000
1.853 3.209 0.000
1.853 1.070 5.367
Tb C Rh
1 1 2
Cartesian
3.706 2.140 2.684
0.000 0.000 0.000
5.559 3.209 4.661
1.853 1.070 0.706

2.
AcGePd3 (GGA-PBE, relaxed); total magnetic moment = 0.0 μB/f.u.; symmetry = Pm-3m, No. 221; excess energy over the best structure of this formula in the dataset = 0.98 eV/f.u.; uncorrected energy = -5.454 eV per atom; formation energy from the elements = -593.3 meV/atom
1.0
4.806 0.000 0.000
0.000 4.806 0.000
0.000 0.000 4.806
Pd Ge Ac
3 1 1
Cartesian
2.403 0.000 0.000
0.000 0.000 2.403
0.000 2.403 0.000
0.000 0.000 0.000
2.403 2.403 2.403

3.
La4Nd2Pb3O2 (GGA-PBE, relaxed); total magnetic moment = 0.0 μB/f.u.; formation energy from raw total energies = -134.0 kJ/mol of atoms; symmetry = I4/mmm, No. 139; uncorrected energy = -5.960 eV per atom
1.0
-4.770 0.138 1.134
-0.555 -4.535 -1.783
5.385 -2.880 12.397
Pb Nd La O
3 2 4 2
Cartesian
0.981 -1.831 4.352
-0.922 -5.446 7.396
0.000 0.000 0.000
-1.596 -4.188 4.404
1.656 -3.089 7.344
-1.927 -0.786 2.599
0.180 -3.122 1.141
1.986 -6.491 9.150
-0.121 -4.155 10.608
2.155 -4.020 9.557
-2.095 -3.257 2.191

4.
PuTa2Pd (GGA-PBE, relaxed); total magnetic moment = 5.2 μB/f.u.; symmetry = R-3m, No. 166; uncorrected energy = -10.475 eV per atom; formation energy from the elements = 332.6 meV/atom
1.0
2.910 0.000 0.000
1.455 2.520 0.000
1.455 0.840 10.453
Pu Ta Pd
1 2 1
Cartesian
0.000 0.000 0.000
1.455 0.840 7.515
4.365 2.520 2.937
2.910 1.680 5.226